# YB2IrO8 (GGA-PBE, optimized geometry)
# Total DFT energy (no corrections) ... -88.4 eV/cell
# DOS at the Fermi energy ... 9.1 states/eV/f.u.
# Formation energy without anion corrections ... -1668 meV per atom
data_YB2IrO8
_chemical_formula_sum 'Y1 B2 Ir1 O8'
_symmetry_space_group_name_H-M 'P 1'
_symmetry_Int_Tables_number 1
_cell_length_a 4.933
_cell_length_b 4.933
_cell_length_c 6.432
_cell_angle_alpha 90.00
_cell_angle_beta 90.00
_cell_angle_gamma 120.00
loop_
_symmetry_equiv_pos_as_xyz
'x,y,z'
loop_
_atom_site_label
_atom_site_type_symbol
_atom_site_fract_x
_atom_site_fract_y
_atom_site_fract_z
Y1 Y 0.000 0.000 0.000
B1 B 0.333 0.667 0.236
B2 B 0.667 0.333 0.764
Ir1 Ir 0.000 0.000 0.500
O1 O 0.170 0.341 0.305
O2 O 0.170 0.830 0.305
O3 O 0.333 0.667 0.013
O4 O 0.341 0.170 0.695
O5 O 0.659 0.830 0.305
O6 O 0.667 0.333 0.987
O7 O 0.830 0.170 0.695
O8 O 0.830 0.659 0.695

# B2IrOs2 (GGA-PBE, optimized geometry)
# Total DFT energy (no corrections) ... -84.1 eV/cell
# DOS at the Fermi energy ... 3.9 states/eV/f.u.
# Formation energy ... 0.53 eV/atom
# Distance to the lowest polymorph of the same formula ... 0.274 eV/atom
data_B2IrOs2
_chemical_formula_sum 'B4 Ir2 Os4'
_symmetry_space_group_name_H-M 'P 1'
_symmetry_Int_Tables_number 1
_cell_length_a 3.818
_cell_length_b 3.818
_cell_length_c 8.408
_cell_angle_alpha 90.00
_cell_angle_beta 90.00
_cell_angle_gamma 90.00
loop_
_symmetry_equiv_pos_as_xyz
'x,y,z'
loop_
_atom_site_label
_atom_site_type_symbol
_atom_site_fract_x
_atom_site_fract_y
_atom_site_fract_z
B1 B 0.000 0.500 0.250
B2 B 0.000 0.500 0.750
B3 B 0.500 0.000 0.250
B4 B 0.500 0.000 0.750
Ir1 Ir 0.000 0.000 0.000
Ir2 Ir 0.500 0.500 0.500
Os1 Os 0.000 0.000 0.355
Os2 Os 0.000 0.000 0.645
Os3 Os 0.500 0.500 0.145
Os4 Os 0.500 0.500 0.855

# B2IrOs2 (GGA-PBE, optimized geometry)
# Total DFT energy (no corrections) ... -86.8 eV/cell
# DOS at the Fermi energy ... 5.4 states/eV/f.u.
# Formation energy ... 0.25 eV/atom
# Distance to the lowest polymorph of the same formula ... 0.000 eV/atom
data_B2IrOs2
_chemical_formula_sum 'B4 Ir2 Os4'
_symmetry_space_group_name_H-M 'P 1'
_symmetry_Int_Tables_number 1
_cell_length_a 6.359
_cell_length_b 6.359
_cell_length_c 2.752
_cell_angle_alpha 90.00
_cell_angle_beta 90.00
_cell_angle_gamma 90.00
loop_
_symmetry_equiv_pos_as_xyz
'x,y,z'
loop_
_atom_site_label
_atom_site_type_symbol
_atom_site_fract_x
_atom_site_fract_y
_atom_site_fract_z
B1 B 0.148 0.352 0.000
B2 B 0.352 0.852 0.000
B3 B 0.648 0.148 0.000
B4 B 0.852 0.648 0.000
Ir1 Ir 0.000 0.000 0.000
Ir2 Ir 0.500 0.500 0.000
Os1 Os 0.151 0.651 0.500
Os2 Os 0.349 0.151 0.500
Os3 Os 0.651 0.849 0.500
Os4 Os 0.849 0.349 0.500

# BIrOs3 (GGA-PBE, optimized geometry)
# Total DFT energy (no corrections) ... -47.1 eV/cell
# DOS at the Fermi energy ... 5.2 states/eV/f.u.
# Formation energy ... 0.42 eV/atom
# Distance to the lowest polymorph of the same formula ... 0.000 eV/atom
data_BIrOs3
_chemical_formula_sum 'B1 Ir1 Os3'
_symmetry_space_group_name_H-M 'P 1'
_symmetry_Int_Tables_number 1
_cell_length_a 4.062
_cell_length_b 4.062
_cell_length_c 4.062
_cell_angle_alpha 90.00
_cell_angle_beta 90.00
_cell_angle_gamma 90.00
loop_
_symmetry_equiv_pos_as_xyz
'x,y,z'
loop_
_atom_site_label
_atom_site_type_symbol
_atom_site_fract_x
_atom_site_fract_y
_atom_site_fract_z
B1 B 0.000 0.000 0.000
Ir1 Ir 0.500 0.500 0.500
Os1 Os 0.000 0.000 0.500
Os2 Os 0.000 0.500 0.000
Os3 Os 0.500 0.000 0.000

# B2IrOs2 (GGA-PBE, optimized geometry)
# Total DFT energy (no corrections) ... -83.3 eV/cell
# DOS at the Fermi energy ... 4.0 states/eV/f.u.
# Formation energy ... 0.61 eV/atom
# Distance to the lowest polymorph of the same formula ... 0.355 eV/atom
data_B2IrOs2
_chemical_formula_sum 'B4 Ir2 Os4'
_symmetry_space_group_name_H-M 'P 1'
_symmetry_Int_Tables_number 1
_cell_length_a 6.606
_cell_length_b 6.606
_cell_length_c 2.702
_cell_angle_alpha 90.00
_cell_angle_beta 90.00
_cell_angle_gamma 90.00
loop_
_symmetry_equiv_pos_as_xyz
'x,y,z'
loop_
_atom_site_label
_atom_site_type_symbol
_atom_site_fract_x
_atom_site_fract_y
_atom_site_fract_z
B1 B 0.155 0.345 0.000
B2 B 0.345 0.845 0.000
B3 B 0.655 0.155 0.000
B4 B 0.845 0.655 0.000
Ir1 Ir 0.000 0.000 0.500
Ir2 Ir 0.500 0.500 0.500
Os1 Os 0.137 0.637 0.500
Os2 Os 0.363 0.137 0.500
Os3 Os 0.637 0.863 0.500
Os4 Os 0.863 0.363 0.500

# B2Ir2Os (GGA-PBE, optimized geometry)
# Total DFT energy (no corrections) ... -81.5 eV/cell
# DOS at the Fermi energy ... 2.7 states/eV/f.u.
# Formation energy ... 0.31 eV/atom
# Distance to the lowest polymorph of the same formula ... 0.115 eV/atom
data_B2Ir2Os
_chemical_formula_sum 'B4 Ir4 Os2'
_symmetry_space_group_name_H-M 'P 1'
_symmetry_Int_Tables_number 1
_cell_length_a 3.776
_cell_length_b 3.776
_cell_length_c 8.232
_cell_angle_alpha 90.00
_cell_angle_beta 90.00
_cell_angle_gamma 90.00
loop_
_symmetry_equiv_pos_as_xyz
'x,y,z'
loop_
_atom_site_label
_atom_site_type_symbol
_atom_site_fract_x
_atom_site_fract_y
_atom_site_fract_z
B1 B 0.000 0.000 0.107
B2 B 0.000 0.000 0.893
B3 B 0.500 0.500 0.393
B4 B 0.500 0.500 0.607
Ir1 Ir 0.000 0.500 0.250
Ir2 Ir 0.000 0.500 0.750
Ir3 Ir 0.500 0.000 0.250
Ir4 Ir 0.500 0.000 0.750
Os1 Os 0.000 0.000 0.500
Os2 Os 0.500 0.500 0.000

# BIr2Os (GGA-PBE, optimized geometry)
# Total DFT energy (no corrections) ... -105.5 eV/cell
# DOS at the Fermi energy ... 3.3 states/eV/f.u.
# Formation energy ... 0.11 eV/atom
data_BIr2Os
_chemical_formula_sum 'B3 Ir6 Os3'
_symmetry_space_group_name_H-M 'P 1'
_symmetry_Int_Tables_number 1
_cell_length_a 2.749
_cell_length_b 2.749
_cell_length_c 23.136
_cell_angle_alpha 90.00
_cell_angle_beta 90.00
_cell_angle_gamma 120.00
loop_
_symmetry_equiv_pos_as_xyz
'x,y,z'
loop_
_atom_site_label
_atom_site_type_symbol
_atom_site_fract_x
_atom_site_fract_y
_atom_site_fract_z
B1 B 0.000 0.000 0.000
B2 B 0.333 0.667 0.667
B3 B 0.667 0.333 0.333
Ir1 Ir 0.000 0.000 0.403
Ir2 Ir 0.000 0.000 0.600
Ir3 Ir 0.333 0.667 0.070
Ir4 Ir 0.333 0.667 0.266
Ir5 Ir 0.667 0.333 0.737
Ir6 Ir 0.667 0.333 0.933
Os1 Os 0.000 0.000 0.835
Os2 Os 0.333 0.667 0.502
Os3 Os 0.667 0.333 0.168

# BIrOs3 (GGA-PBE, optimized geometry)
# Total DFT energy (no corrections) ... -33.0 eV/cell
# DOS at the Fermi energy ... 8.2 states/eV/f.u.
# Formation energy ... 3.24 eV/atom
# Distance to the lowest polymorph of the same formula ... 2.824 eV/atom
data_BIrOs3
_chemical_formula_sum 'B1 Ir1 Os3'
_symmetry_space_group_name_H-M 'P 1'
_symmetry_Int_Tables_number 1
_cell_length_a 4.717
_cell_length_b 4.717
_cell_length_c 4.717
_cell_angle_alpha 90.00
_cell_angle_beta 90.00
_cell_angle_gamma 90.00
loop_
_symmetry_equiv_pos_as_xyz
'x,y,z'
loop_
_atom_site_label
_atom_site_type_symbol
_atom_site_fract_x
_atom_site_fract_y
_atom_site_fract_z
B1 B 0.000 0.000 0.000
Ir1 Ir 0.500 0.500 0.500
Os1 Os 0.000 0.500 0.500
Os2 Os 0.500 0.000 0.500
Os3 Os 0.500 0.500 0.000

# B3IrOs (GGA-PBE, optimized geometry)
# Total DFT energy (no corrections) ... -32.9 eV/cell
# DOS at the Fermi energy ... 3.2 states/eV/f.u.
# Formation energy ... 1.45 eV/atom
# Distance to the lowest polymorph of the same formula ... 0.000 eV/atom
data_B3IrOs
_chemical_formula_sum 'B3 Ir1 Os1'
_symmetry_space_group_name_H-M 'P 1'
_symmetry_Int_Tables_number 1
_cell_length_a 4.013
_cell_length_b 4.013
_cell_length_c 4.013
_cell_angle_alpha 90.00
_cell_angle_beta 90.00
_cell_angle_gamma 90.00
loop_
_symmetry_equiv_pos_as_xyz
'x,y,z'
loop_
_atom_site_label
_atom_site_type_symbol
_atom_site_fract_x
_atom_site_fract_y
_atom_site_fract_z
B1 B 0.000 0.000 0.500
B2 B 0.000 0.500 0.000
B3 B 0.500 0.000 0.000
Ir1 Ir 0.500 0.500 0.500
Os1 Os 0.000 0.000 0.000

# B2Ir2Os (GGA-PBE, optimized geometry)
# Total DFT energy (no corrections) ... -82.7 eV/cell
# DOS at the Fermi energy ... 2.5 states/eV/f.u.
# Formation energy ... 0.19 eV/atom
# Distance to the lowest polymorph of the same formula ... 0.000 eV/atom
data_B2Ir2Os
_chemical_formula_sum 'B4 Ir4 Os2'
_symmetry_space_group_name_H-M 'P 1'
_symmetry_Int_Tables_number 1
_cell_length_a 6.453
_cell_length_b 6.453
_cell_length_c 2.695
_cell_angle_alpha 90.00
_cell_angle_beta 90.00
_cell_angle_gamma 90.00
loop_
_symmetry_equiv_pos_as_xyz
'x,y,z'
loop_
_atom_site_label
_atom_site_type_symbol
_atom_site_fract_x
_atom_site_fract_y
_atom_site_fract_z
B1 B 0.153 0.347 0.000
B2 B 0.347 0.847 0.000
B3 B 0.653 0.153 0.000
B4 B 0.847 0.653 0.000
Ir1 Ir 0.153 0.653 0.500
Ir2 Ir 0.347 0.153 0.500
Ir3 Ir 0.653 0.847 0.500
Ir4 Ir 0.847 0.347 0.500
Os1 Os 0.000 0.000 0.000
Os2 Os 0.500 0.500 0.000

# BIr2Os (GGA-PBE, optimized geometry)
# Total DFT energy (no corrections) ... -132.0 eV/cell
# DOS at the Fermi energy ... 4.0 states/eV/f.u.
# Formation energy ... 0.66 eV/atom
data_BIr2Os
_chemical_formula_sum 'B4 Ir8 Os4'
_symmetry_space_group_name_H-M 'P 1'
_symmetry_Int_Tables_number 1
_cell_length_a 5.054
_cell_length_b 5.054
_cell_length_c 10.615
_cell_angle_alpha 90.00
_cell_angle_beta 90.00
_cell_angle_gamma 90.00
loop_
_symmetry_equiv_pos_as_xyz
'x,y,z'
loop_
_atom_site_label
_atom_site_type_symbol
_atom_site_fract_x
_atom_site_fract_y
_atom_site_fract_z
B1 B 0.000 0.000 0.000
B2 B 0.000 0.500 0.250
B3 B 0.500 0.000 0.750
B4 B 0.500 0.500 0.500
Ir1 Ir 0.192 0.250 0.125
Ir2 Ir 0.250 0.692 0.375
Ir3 Ir 0.250 0.808 0.875
Ir4 Ir 0.308 0.250 0.625
Ir5 Ir 0.692 0.750 0.625
Ir6 Ir 0.750 0.192 0.875
Ir7 Ir 0.750 0.308 0.375
Ir8 Ir 0.808 0.750 0.125
Os1 Os 0.000 0.000 0.500
Os2 Os 0.000 0.500 0.750
Os3 Os 0.500 0.000 0.250
Os4 Os 0.500 0.500 0.000

# B3IrOs (GGA-PBE, optimized geometry)
# Total DFT energy (no corrections) ... -31.7 eV/cell
# DOS at the Fermi energy ... 4.8 states/eV/f.u.
# Formation energy ... 1.68 eV/atom
# Distance to the lowest polymorph of the same formula ... 0.229 eV/atom
data_B3IrOs
_chemical_formula_sum 'B3 Ir1 Os1'
_symmetry_space_group_name_H-M 'P 1'
_symmetry_Int_Tables_number 1
_cell_length_a 3.999
_cell_length_b 3.999
_cell_length_c 3.999
_cell_angle_alpha 90.00
_cell_angle_beta 90.00
_cell_angle_gamma 90.00
loop_
_symmetry_equiv_pos_as_xyz
'x,y,z'
loop_
_atom_site_label
_atom_site_type_symbol
_atom_site_fract_x
_atom_site_fract_y
_atom_site_fract_z
B1 B 0.000 0.000 0.500
B2 B 0.000 0.500 0.000
B3 B 0.500 0.000 0.000
Ir1 Ir 0.000 0.000 0.000
Os1 Os 0.500 0.500 0.500